# 1
The following is a meta-GGA SCAN calculation of a crystal of Li3HfBr relaxed with PBEsol, from the Alexandria database.

Summary:
Space group   No. 221
Total magnetic moment   3.995 μB per formula unit
Raw formation energy   1006 meV per atom
V   164.2 Å³/cell
Calculated total energy   -16.855 eV/atom

a = 5.476 Å, b = 5.476 Å, c = 5.476 Å
α = 90.00°, β = 90.00°, γ = 90.00°
Sites, in units of the cell vectors:
Li (0.000, 0.000, 0.500)
Li (0.000, 0.500, 0.000)
Li (0.500, 0.000, 0.000)
Hf (0.000, 0.000, 0.000)
Br (0.500, 0.500, 0.500)

---

# 2
The following is a meta-GGA SCAN calculation of a crystal of LiHfPd2Br relaxed with PBEsol, from the Alexandria database.

Summary:
Space group   No. 123
Total magnetic moment   0.000 μB per formula unit
Raw formation energy   506 meV per atom
V   106.7 Å³/cell
Calculated total energy   -29.508 eV/atom

a = 4.697 Å, b = 4.697 Å, c = 4.836 Å
α = 90.00°, β = 90.00°, γ = 90.00°
Sites, in units of the cell vectors:
Li (0.000, 0.000, 0.000)
Hf (0.500, 0.500, 0.000)
Pd (0.000, 0.500, 0.500)
Pd (0.500, 0.000, 0.500)
Br (0.500, 0.500, 0.500)

---

# 3
The following is a meta-GGA SCAN calculation of a crystal of HfMoBr2 relaxed with PBEsol, from the Alexandria database.

Summary:
Space group   No. 225
Total magnetic moment   2.831 μB per formula unit
Raw formation energy   602 meV per atom
V   68.8 Å³/cell
Calculated total energy   -33.517 eV/atom

a = 4.600 Å, b = 4.600 Å, c = 4.600 Å
α = 60.00°, β = 60.00°, γ = 60.00°
Sites, in units of the cell vectors:
Hf (0.000, 0.000, 0.000)
Mo (0.500, 0.500, 0.500)
Br (0.250, 0.250, 0.250)
Br (0.750, 0.750, 0.750)

---

# 4
The following is a meta-GGA SCAN calculation of a crystal of HfBrN relaxed with PBEsol, from the Alexandria database.

Summary:
Space group   No. 166
Total magnetic moment   0.000 μB per formula unit
Raw formation energy   -1919 meV per atom
V   111.8 Å³/cell
Calculated total energy   -32.394 eV/atom

a = 10.257 Å, b = 10.257 Å, c = 10.257 Å
α = 20.12°, β = 20.12°, γ = 20.12°
Sites, in units of the cell vectors:
Hf (0.209, 0.209, 0.209)
Hf (0.791, 0.791, 0.791)
Br (0.392, 0.392, 0.392)
Br (0.608, 0.608, 0.608)
N (0.138, 0.138, 0.138)
N (0.862, 0.862, 0.862)

---

# 5
The following is a meta-GGA SCAN calculation of a crystal of HfBrN relaxed with PBEsol, from the Alexandria database.

Summary:
Space group   No. 59
Total magnetic moment   0.000 μB per formula unit
Raw formation energy   -1917 meV per atom
V   129.0 Å³/cell
Calculated total energy   -32.391 eV/atom

a = 3.533 Å, b = 4.094 Å, c = 8.917 Å
α = 90.00°, β = 90.00°, γ = 90.00°
Sites, in units of the cell vectors:
Hf (0.250, 0.250, 0.096)
Hf (0.750, 0.750, 0.904)
Br (0.250, 0.750, 0.673)
Br (0.750, 0.250, 0.327)
N (0.250, 0.750, 0.035)
N (0.750, 0.250, 0.965)

---

# 6
The following is a meta-GGA SCAN calculation of a crystal of HfNiBrN2 relaxed with PBEsol, from the Alexandria database.

Summary:
Space group   No. 123
Total magnetic moment   0.000 μB per formula unit
Raw formation energy   1668 meV per atom
V   66.3 Å³/cell
Calculated total energy   -21.709 eV/atom

a = 3.990 Å, b = 3.990 Å, c = 4.163 Å
α = 90.00°, β = 90.00°, γ = 90.00°
Sites, in units of the cell vectors:
Hf (0.000, 0.000, 0.000)
Ni (0.500, 0.500, 0.000)
Br (0.500, 0.500, 0.500)
N (0.000, 0.500, 0.500)
N (0.500, 0.000, 0.500)